20
Lattice="7.029 0.000 0.000 0.000 7.029 0.000 0.000 0.000 7.785" Properties=species:S:1:pos:R:3 comment="Sm2Ni2Pt (GGA-PBE, optimized geometry)" ef_kj_per_mol_atoms=-58.0 n_ef_per_ev_cell=17.1 pbc="T T T"
Sm 4.803 5.742 0.000
Sm 1.288 4.802 3.893
Sm 5.742 2.227 0.000
Sm 1.287 4.803 0.000
Sm 2.227 1.287 0.000
Sm 4.802 5.742 3.893
Sm 2.227 1.288 3.893
Sm 5.742 2.227 3.893
Pt 0.000 0.000 1.948
Pt 0.000 0.000 5.837
Pt 3.515 3.515 5.841
Pt 3.515 3.515 1.944
Ni 0.838 2.677 5.839
Ni 2.677 6.191 1.946
Ni 2.677 6.191 5.839
Ni 4.353 0.838 1.946
Ni 6.191 4.353 5.839
Ni 4.353 0.838 5.839
Ni 0.838 2.677 1.946
Ni 6.191 4.353 1.946

=====

4
Lattice="4.799 0.000 0.000 2.399 4.156 0.000 2.399 1.385 3.918" Properties=species:S:1:pos:R:3 comment="GdScPdRh (GGA-PBE, optimized geometry)" ef_kj_per_mol_atoms=-80.7 n_ef_per_ev_cell=2.1 pbc="T T T"
Rh 2.399 1.385 0.980
Gd 4.799 2.770 1.959
Sc 0.000 0.000 0.000
Pd 7.198 4.156 2.939

=====

26
Lattice="-5.662 -2.852 -0.437 3.895 -9.018 8.401 -3.769 6.195 8.398" Properties=species:S:1:pos:R:3 comment="Ba2YHg10 (GGA-PBE, optimized geometry)" ef_kj_per_mol_atoms=-17.8 n_ef_per_ev_cell=13.3 pbc="T T T"
Hg -4.485 -3.683 14.266
Hg -0.813 1.201 2.688
Hg -1.150 0.717 10.224
Hg -2.455 -0.006 7.330
Hg 0.037 -1.843 11.553
Hg -0.424 -4.330 9.236
Hg 1.276 -3.539 6.574
Hg 0.089 -0.979 5.245
Hg 0.938 -4.024 14.110
Hg -5.112 -1.344 7.125
Hg 1.694 -5.099 11.337
Hg -2.331 3.357 8.290
Hg -1.828 -2.345 14.471
Hg -1.051 -1.991 2.095
Hg -3.708 -3.330 1.890
Hg -3.081 -5.669 9.031
Hg 2.456 -6.179 8.509
Hg -1.240 0.430 13.270
Hg -1.568 2.277 5.461
Hg 1.366 -3.253 3.528
Ba -3.558 -0.641 4.082
Ba -1.978 -5.033 12.279
Ba -0.818 -6.453 6.517
Ba -4.718 0.778 9.844
Y 0.063 -1.411 8.399
Y 0.000 0.000 0.000

=====

4
Lattice="3.198 0.000 0.000 0.000 3.198 0.000 0.000 0.000 8.344" Properties=species:S:1:pos:R:3 comment="CoHg2Br (GGA-PBE, optimized geometry)" de_polymorph_ev_per_atom=0.298 n_ef_per_ev_cell=6.5 raw_formation_energy_kcal_per_mol_atoms=9.02 pbc="T T T"
Hg 0.000 0.000 7.925
Hg 0.000 0.000 4.591
Co 1.599 1.599 6.258
Br 1.599 1.599 2.086